Record 1
# Gd3Mg3In2Cu (PBE-GGA, relaxed)
data_Gd3Mg3In2Cu
_chemical_formula_sum 'Gd3 Mg3 In2 Cu1'
_symmetry_space_group_name_H-M 'P -6 2 m'
_symmetry_Int_Tables_number 189
_symmetry_space_group_name_Hall 'P -6 -2'
_cell_length_a 7.5242
_cell_length_b 7.5242
_cell_length_c 4.5191
_cell_angle_alpha 90.00
_cell_angle_beta 90.00
_cell_angle_gamma 120.00
loop_
_atom_site_label
_atom_site_type_symbol
_atom_site_fract_x
_atom_site_fract_y
_atom_site_fract_z
Gd1 Gd 0.0000 0.5957 0.0000
Mg1 Mg 0.0000 0.2340 0.5000
In1 In 0.3333 0.6667 0.5000
Cu1 Cu 0.0000 0.0000 0.0000
# - Uncorrected energy: -3.432 eV/atom

Record 2
# TbHoCu2Sn2 (PBE-GGA, relaxed)
data_TbHoCu2Sn2
_chemical_formula_sum 'Tb1 Ho1 Cu2 Sn2'
_symmetry_space_group_name_H-M 'P 3 m 1'
_symmetry_Int_Tables_number 156
_cell_length_a 4.5386
_cell_length_b 4.5386
_cell_length_c 7.2235
_cell_angle_alpha 90.00
_cell_angle_beta 90.00
_cell_angle_gamma 120.00
loop_
_symmetry_equiv_pos_as_xyz
'x,y,z'
'-y,x-y,z'
'-x+y,-x,z'
'-y,-x,z'
'-x+y,y,z'
'x,x-y,z'
loop_
_atom_site_label
_atom_site_type_symbol
_atom_site_fract_x
_atom_site_fract_y
_atom_site_fract_z
Tb1 Tb 0.0000 0.0000 0.0000
Ho1 Ho 0.0000 0.0000 0.4997
Cu1 Cu 0.3333 0.6667 0.8156
Cu2 Cu 0.6667 0.3333 0.3208
Sn1 Sn 0.3333 0.6667 0.2315
Sn2 Sn 0.6667 0.3333 0.7283
# - Uncorrected energy: -4.712 eV/atom